1.
DFT (PBE-GGA) results for a relaxed YScMnAl crystal.

Summary:
Symmetry: F-43m
E_tot in Ry/atom: -0.47994

Cell lengths 4.9308, 4.9308, 4.9308 Å; angles 60.00, 60.00, 60.00 degrees
Last column: nearest neighbours and their distance in Å.
Positions (direct):
Sc 0.5000 0.5000 0.5000  4 Al 3.02, 4 Mn 3.02
Mn 0.7500 0.7500 0.7500  4 Sc 3.02, 4 Y 3.02
Y 0.0000 0.0000 0.0000  4 Mn 3.02, 4 Al 3.02
Al 0.2500 0.2500 0.2500  4 Y 3.02, 4 Sc 3.02

---

2.
DFT (PBE-GGA) results for a relaxed MnAlSe3 crystal.

Summary:
Energy relative to the elements, uncorrected in meV/atom: -392
Symmetry: P6_3/mmc
E_tot in Ry/atom: -0.37228

Cell lengths 3.8793, 3.8793, 15.5478 Å; angles 90.00, 90.00, 120.00 degrees
Last column: nearest neighbours and their distance in Å.
Positions (direct):
Se 0.0000 0.0000 0.7500  3 Mn 2.24
Se 0.6667 0.3333 0.4139  1 Mn 2.55, 3 Al 2.61
Se 0.6667 0.3333 0.0861  1 Mn 2.55, 3 Al 2.61
Al 0.0000 0.0000 0.5000  6 Se 2.61
Se 0.3333 0.6667 0.9139  1 Mn 2.55, 3 Al 2.61
Al 0.0000 0.0000 0.0000  6 Se 2.61
Se 0.0000 0.0000 0.2500  3 Mn 2.24
Mn 0.6667 0.3333 0.2500  3 Se 2.24
Mn 0.3333 0.6667 0.7500  3 Se 2.24
Se 0.3333 0.6667 0.5861  1 Mn 2.55, 3 Al 2.61

---

3.
DFT (PBE-GGA) results for a relaxed MnAlSe3 crystal.

Summary:
Energy relative to the elements, uncorrected in meV/atom: -143
Symmetry: R3m
E_tot in Ry/atom: -0.35395

Cell lengths 5.1648, 5.1648, 5.1648 Å; angles 85.37, 85.37, 85.37 degrees
Last column: nearest neighbours and their distance in Å.
Positions (direct):
Se 0.6170 0.1166 0.6170  1 Mn 2.40, 2 Al 2.52-2.65
Al 0.6056 0.6056 0.6056  6 Se 2.52-2.65
Se 0.1166 0.6170 0.6170  1 Mn 2.40, 2 Al 2.52-2.65
Se 0.6170 0.6170 0.1166  1 Mn 2.40, 2 Al 2.52-2.65
Mn 0.9188 0.9188 0.9188  3 Se 2.40

---

4.
DFT (PBE-GGA) results for a relaxed MnAlSe3 crystal.

Summary:
Energy relative to the elements, uncorrected in meV/atom: -573
Symmetry: C2/m
E_tot in Ry/atom: -0.38558

Cell lengths 3.6943, 7.0674, 10.9242 Å; angles 95.15, 90.00, 105.15 degrees
Last column: nearest neighbours and their distance in Å.
Positions (direct):
Se 0.8957 0.7915 0.2310  1 Al 2.44, 2 Mn 2.50
Al 0.0745 0.1491 0.2745  4 Se 2.33-2.53
Mn 0.3574 0.7148 0.0805  5 Se 2.50-2.72
Se 0.8418 0.6837 0.9227  3 Mn 2.52-2.72, 1 Al 2.53
Al 0.9255 0.8509 0.7255  4 Se 2.33-2.53
Se 0.6365 0.2729 0.3872  2 Al 2.33
Mn 0.6426 0.2852 0.9195  5 Se 2.50-2.72
Se 0.1582 0.3163 0.0773  3 Mn 2.52-2.72, 1 Al 2.53
Se 0.1043 0.2085 0.7690  1 Al 2.44, 2 Mn 2.50
Se 0.3635 0.7271 0.6128  2 Al 2.33

---

5.
DFT (PBE-GGA) results for a relaxed MnAl3Se crystal.

Summary:
Energy relative to the elements, uncorrected in meV/atom: 1295
Symmetry: Pm-3m
E_tot in Ry/atom: -0.25585

Cell lengths 4.8506, 4.8506, 4.8506 Å; angles 90.00, 90.00, 90.00 degrees
Last column: nearest neighbours and their distance in Å.
Positions (direct):
Mn 0.5000 0.5000 0.5000  12 Al 3.43
Al 0.5000 0.0000 0.0000  2 Se 2.43
Al 0.0000 0.0000 0.5000  2 Se 2.43
Se 0.0000 0.0000 0.0000  6 Al 2.43
Al 0.0000 0.5000 0.0000  2 Se 2.43

---

6.
DFT (PBE-GGA) results for a relaxed MnAlSe3 crystal.

Summary:
Energy relative to the elements, uncorrected in meV/atom: 147
Symmetry: Pm-3m
E_tot in Ry/atom: -0.33268

Cell lengths 4.8540, 4.8540, 4.8540 Å; angles 90.00, 90.00, 90.00 degrees
Last column: nearest neighbours and their distance in Å.
Positions (direct):
Se 0.0000 0.5000 0.0000  2 Mn 2.43
Al 0.5000 0.5000 0.5000  12 Se 3.43
Mn 0.0000 0.0000 0.0000  6 Se 2.43
Se 0.5000 0.0000 0.0000  2 Mn 2.43
Se 0.0000 0.0000 0.5000  2 Mn 2.43

---

7.
DFT (PBE-GGA) results for a relaxed MnAlSe3 crystal.

Summary:
Energy relative to the elements, uncorrected in meV/atom: 118
Symmetry: I-4m2
E_tot in Ry/atom: -0.33476

Cell lengths 9.3996, 9.3996, 7.6702 Å; angles 52.21, 52.21, 90.00 degrees
Last column: nearest neighbours and their distance in Å.
Positions (direct):
Al 0.2500 0.7500 0.5000  4 Se 2.46
Se 0.2564 0.9566 0.0869  1 Mn 2.28, 1 Al 2.46
Mn 0.6237 0.1237 0.7526  1 Mn 1.93
Al 0.0000 0.0000 0.0000  2 Se 2.31
Se 0.0434 0.3433 0.9131  1 Mn 2.28, 1 Al 2.46
Se 0.0434 0.7436 0.9131  1 Mn 2.28, 1 Al 2.46
Mn 0.8763 0.3763 0.2474  1 Mn 1.93
Se 0.6567 0.9566 0.0869  1 Mn 2.28, 1 Al 2.46
Se 0.3020 0.3020 0.3961  1 Al 2.31
Se 0.6980 0.6980 0.6039  1 Al 2.31

---

8.
DFT (PBE-GGA) results for a relaxed MnAlSe3 crystal.

Summary:
Energy relative to the elements, uncorrected in meV/atom: -485
Symmetry: P2_1/m
E_tot in Ry/atom: -0.37909

Cell lengths 3.6669, 7.0160, 10.5490 Å; angles 90.00, 99.87, 90.00 degrees
Last column: nearest neighbours and their distance in Å.
Positions (direct):
Se 0.8513 0.0199 0.1990  1 Mn 2.44, 2 Al 2.53
Se 0.8513 0.4801 0.1990  1 Mn 2.44, 2 Al 2.53
Mn 0.9253 0.7500 0.3469  4 Se 2.41-2.44
Se 0.1487 0.9801 0.8010  1 Mn 2.44, 2 Al 2.53
Se 0.4995 0.7500 0.4972  2 Mn 2.41, 1 Al 2.50
Se 0.5005 0.2500 0.5028  2 Mn 2.41, 1 Al 2.50
Mn 0.0747 0.2500 0.6531  4 Se 2.41-2.44
Se 0.1487 0.5199 0.8010  1 Mn 2.44, 2 Al 2.53
Al 0.6174 0.7500 0.7376  5 Se 2.50-2.53
Al 0.3826 0.2500 0.2624  5 Se 2.50-2.53

---

9.
DFT (PBE-GGA) results for a relaxed MnAlSe3 crystal.

Summary:
Energy relative to the elements, uncorrected in meV/atom: -605
Symmetry: Cm
E_tot in Ry/atom: -0.38794

Cell lengths 3.7049, 9.5328, 6.6010 Å; angles 97.43, 89.98, 101.22 degrees
Last column: nearest neighbours and their distance in Å.
Positions (direct):
Mn 0.1664 0.8306 0.4759  6 Se 2.51-2.68
Se 0.4197 0.3378 0.5301  3 Al 2.40-2.52
Se 0.0804 0.6596 0.7443  3 Mn 2.54-2.56, 1 Al 2.64
Al 0.3608 0.2203 0.1839  4 Se 2.40-2.42
Se 0.7429 0.9831 0.6476  3 Mn 2.51-2.54
Al 0.9925 0.4831 0.3968  6 Se 2.52-2.74
Se 0.9180 0.3344 0.0353  3 Al 2.41-2.60
Mn 0.6595 0.8177 0.9231  6 Se 2.54-2.82
Se 0.2302 0.9592 0.1450  1 Al 2.42, 3 Mn 2.61-2.63
Se 0.5835 0.6666 0.2660  3 Mn 2.67-2.82, 2 Al 2.74

---

10.
DFT (PBE-GGA) results for a relaxed MnAlSe3 crystal.

Summary:
Energy relative to the elements, uncorrected in meV/atom: -549
Symmetry: Amm2
E_tot in Ry/atom: -0.38380

Cell lengths 3.7386, 6.8799, 6.8799 Å; angles 120.97, 90.00, 90.00 degrees
Last column: nearest neighbours and their distance in Å.
Positions (direct):
Se 0.5000 0.6884 0.7989  1 Al 2.45, 2 Mn 2.50
Al 0.5000 0.0893 0.9107  4 Se 2.36-2.45
Se 0.5000 0.2011 0.3116  1 Al 2.45, 2 Mn 2.50
Se 0.0000 0.2092 0.7908  2 Al 2.36
Mn 0.0000 0.4400 0.5600  5 Se 2.50-2.76

---

11.
DFT (PBE-GGA) results for a relaxed MnAlSe3 crystal.

Summary:
Energy relative to the elements, uncorrected in meV/atom: -612
Symmetry: P1
E_tot in Ry/atom: -0.38848

Cell lengths 3.7664, 9.8967, 6.6103 Å; angles 96.58, 89.38, 75.79 degrees
Last column: nearest neighbours and their distance in Å.
Positions (direct):
Mn 0.1601 0.8240 0.4843  6 Se 2.48-2.70
Se 0.0790 0.9527 0.1804  3 Mn 2.48-2.54
Al 0.4618 0.2272 0.6951  4 Se 2.39-2.43
Se 0.3804 0.3315 0.3802  3 Al 2.42-2.53
Se 0.2813 0.6779 0.7802  3 Mn 2.54-2.66, 1 Al 2.71
Se 0.8829 0.3469 0.8701  3 Al 2.42-2.57
Al 0.7758 0.4722 0.5478  5 Se 2.47-2.71
Se 0.5862 0.9772 0.6778  1 Al 2.39, 1 Mn 2.55
Mn 0.6715 0.8185 0.9899  6 Se 2.52-2.82
Se 0.7402 0.6643 0.3269  2 Mn 2.50-2.64, 1 Al 2.51

---

12.
DFT (PBE-GGA) results for a relaxed MnAlSe4 crystal.

Summary:
Energy relative to the elements, uncorrected in meV/atom: 628
Symmetry: F-43m
E_tot in Ry/atom: -0.28277

Cell lengths 5.7424, 5.7424, 5.7424 Å; angles 60.00, 60.00, 60.00 degrees
Last column: nearest neighbours and their distance in Å.
Positions (direct):
Se 0.3745 0.3745 0.3745  6 Se 2.86-2.88
Al 0.7500 0.7500 0.7500  12 Se 3.37, 4 Mn 3.52
Mn 0.0000 0.0000 0.0000  12 Se 3.37, 4 Al 3.52
Se 0.8766 0.3745 0.3745  6 Se 2.86-2.88
Se 0.3745 0.8766 0.3745  6 Se 2.86-2.88
Se 0.3745 0.3745 0.8766  6 Se 2.86-2.88

---

13.
DFT (PBE-GGA) results for a relaxed MnAlSe3 crystal.

Summary:
Energy relative to the elements, uncorrected in meV/atom: -518
Symmetry: P2_1
E_tot in Ry/atom: -0.38154

Cell lengths 3.6704, 11.0078, 6.2214 Å; angles 90.65, 89.99, 90.00 degrees
Last column: nearest neighbours and their distance in Å.
Positions (direct):
Se 0.2283 0.9341 0.7663  3 Mn 2.31-2.37
Se 0.7304 0.3917 0.3226  3 Al 2.46-2.54
Al 0.7302 0.4178 0.7150  5 Se 2.46-2.56
Mn 0.2284 0.7437 0.5860  4 Se 2.31-2.37
Se 0.7298 0.0865 0.3235  1 Mn 2.34, 2 Al 2.56
Al 0.2302 0.2407 0.4131  5 Se 2.46-2.56
Se 0.2298 0.5720 0.8045  1 Mn 2.34, 2 Al 2.56
Mn 0.7283 0.9148 0.5420  4 Se 2.31-2.37
Se 0.7284 0.7244 0.3618  3 Mn 2.31-2.37
Se 0.2303 0.2667 0.8056  3 Al 2.46-2.54